No. 1
VASP calculation (PBE) on an optimized crystal structure of Hf2MgS.

a b c (Å): 3.4758 3.4758 8.1523
angles (deg): 77.69 77.69 60.00
Sites, in units of the cell vectors:
S  0.6669  0.6669  0.9993
Hf  0.0621  0.0621  0.8138
Hf  0.2714  0.2714  0.1857
Mg  0.4996  0.4996  0.5012

Results
The value obtained for the total magnetic moment is 0.00 μB/f.u. The calculation puts the total energy at -27.84 eV/f.u. The calculation puts the energy above the most stable polymorph in this dataset at 0.00 kcal/mol of atoms. The calculation puts the uncorrected formation energy at -0.5528 eV/atom.

***

No. 2
VASP calculation (PBE) on an optimized crystal structure of CsB2PPd.

a b c (Å): 4.9451 5.1980 4.9451
angles (deg): 90.00 90.00 90.00
Sites, in units of the cell vectors:
B  0.5000  0.0000  0.0000
B  0.0000  0.0000  0.5000
P  0.5000  0.5000  0.5000
Pd  0.0000  0.5000  0.0000
Cs  0.0000  0.0000  0.0000

Results
The value obtained for the total magnetic moment is 0.00 μB/f.u. Its formation energy is 2990.4 meV per atom. The calculation puts the total energy at -9.86 eV/f.u.

***

No. 3
VASP calculation (PBE) on an optimized crystal structure of CaZrSc2.

a b c (Å): 11.3109 11.3109 11.3109
angles (deg): 17.05 17.05 17.05
Sites, in units of the cell vectors:
Sc  0.5087  0.5087  0.5087
Sc  0.9913  0.9913  0.9913
Ca  0.7500  0.7500  0.7500
Zr  0.2500  0.2500  0.2500

Results
The value obtained for the total magnetic moment is 0.00 μB/f.u. Its formation energy is 132.3 meV per atom. The calculation puts the total energy at -22.68 eV/f.u. The calculation puts the energy above the most stable polymorph in this dataset at 0.69 kcal/mol of atoms.

***

No. 4
VASP calculation (PBE) on an optimized crystal structure of K5P2Au.

a b c (Å): 5.6915 5.6915 18.8569
angles (deg): 90.00 90.00 120.00
Sites, in units of the cell vectors:
P  0.3333  0.6667  0.3779
P  0.6667  0.3333  0.6221
P  0.3333  0.6667  0.1221
P  0.6667  0.3333  0.8779
K  0.3333  0.6667  0.7500
K  0.3333  0.6667  0.5485
K  0.6667  0.3333  0.4515
K  0.0000  0.0000  0.1439
K  0.6667  0.3333  0.2500
K  0.0000  0.0000  0.3561
K  0.0000  0.0000  0.6439
K  0.0000  0.0000  0.8561
K  0.6667  0.3333  0.0485
K  0.3333  0.6667  0.9515
Au  0.3333  0.6667  0.2500
Au  0.6667  0.3333  0.7500

Results
The value obtained for the total magnetic moment is 0.00 μB/f.u. Its formation energy is -382.3 meV per atom. The calculation puts the total energy at -22.64 eV/f.u. The calculation puts the energy above the most stable polymorph in this dataset at 0.00 kcal/mol of atoms.

***

No. 5
VASP calculation (PBE) on an optimized crystal structure of MnBiC3.

a b c (Å): 4.4642 4.4642 4.4642
angles (deg): 90.00 90.00 90.00
Site moments in Bohr magnetons follow the coordinates.
Sites, in units of the cell vectors:
Bi  0.0000  0.0000  0.0000  0.02
Mn  0.5000  0.5000  0.5000  -4.35
C  0.0000  0.5000  0.0000  0.44
C  0.5000  0.0000  0.0000  0.41
C  0.0000  0.0000  0.5000  0.40

Results
The value obtained for the total magnetic moment is 2.28 μB/f.u. Its formation energy is 3312.9 meV per atom. The calculation puts the total energy at -24.16 eV/f.u. The calculation puts the energy above the most stable polymorph in this dataset at 34.82 kcal/mol of atoms.

***

No. 6
VASP calculation (PBE) on an optimized crystal structure of BaLaNd.

a b c (Å): 3.8530 3.8530 9.0185
angles (deg): 102.33 102.33 90.00
Sites, in units of the cell vectors:
La  0.3176  0.3176  0.6353
Nd  0.6806  0.6806  0.3612
Ba  0.0018  0.0018  0.0036

Results
The value obtained for the total magnetic moment is 0.00 μB/f.u. Its formation energy is 114.0 meV per atom. The calculation puts the total energy at -11.28 eV/f.u. The calculation puts the energy above the most stable polymorph in this dataset at 0.00 kcal/mol of atoms.

***

No. 7
VASP calculation (PBE) on an optimized crystal structure of LiCdSb2S4.

a b c (Å): 6.7065 6.7065 5.5960
angles (deg): 113.48 113.48 109.57
Sites, in units of the cell vectors:
S  0.5625  0.5625  0.6255
S  0.3131  0.8128  0.1258
S  0.8128  0.3131  0.1258
S  0.0629  0.0629  0.6255
Li  0.5614  0.5614  0.1228
Sb  0.3128  0.8128  0.6255
Sb  0.8128  0.3128  0.6255
Cd  0.0621  0.0621  0.1241

Results
The value obtained for the total magnetic moment is 0.00 μB/f.u. The calculation puts the total energy at -31.15 eV/f.u. The calculation puts the uncorrected formation energy at -0.4461 eV/atom.

***

No. 8
VASP calculation (PBE) on an optimized crystal structure of Hf8Sc2Os.

a b c (Å): 4.9372 5.6983 8.8526
angles (deg): 93.71 106.19 90.00
Sites, in units of the cell vectors:
Sc  0.7604  0.6689  0.5207
Sc  0.2396  0.3311  0.4793
Hf  0.9560  0.7309  0.9121
Hf  0.8495  0.1947  0.6990
Hf  0.0440  0.2691  0.0879
Hf  0.3439  0.8765  0.6877
Hf  0.4238  0.3918  0.8476
Hf  0.1505  0.8053  0.3010
Hf  0.5762  0.6082  0.1524
Hf  0.6561  0.1235  0.3123
Os  0.5000  0.0000  0.0000

Results
The value obtained for the total magnetic moment is 0.00 μB/f.u. Its formation energy is -88.6 meV per atom. The calculation puts the total energy at -104.49 eV/f.u.

***

No. 9
VASP calculation (PBE) on an optimized crystal structure of Li2CrSnCl6.

a b c (Å): 6.5963 6.5915 7.1856
angles (deg): 62.65 62.61 59.97
Site moments in Bohr magnetons follow the coordinates.
Sites, in units of the cell vectors:
Cl  0.5837  0.2469  0.2422  0.00
Cl  0.9275  0.5832  0.2422  0.00
Cl  0.2473  0.9274  0.2421  0.00
Cl  0.3776  0.7209  0.7699  -0.01
Cl  0.1316  0.3778  0.7695  -0.01
Cl  0.7209  0.1314  0.7700  -0.01
Li  0.5208  0.5208  0.4373  0.00
Li  0.0110  0.0115  0.9664  0.00
Sn  0.8170  0.8171  0.5490  0.03
Cr  0.3244  0.3245  0.0268  3.60

Results
The value obtained for the total magnetic moment is 4.00 μB/f.u. The calculation puts the total energy at -41.09 eV/f.u. The calculation puts the uncorrected formation energy at -1.2561 eV/atom.

***

No. 10
VASP calculation (PBE) on an optimized crystal structure of BeVSe.

a b c (Å): 6.4562 3.4545 8.5272
angles (deg): 90.00 110.32 90.00
Site moments in Bohr magnetons follow the coordinates.
Sites, in units of the cell vectors:
V  0.1436  0.0000  0.1068  0.81
V  0.8894  0.0000  0.7641  -0.07
V  0.8894  0.5000  0.2641  -0.07
V  0.1436  0.5000  0.6068  0.81
Se  0.5881  0.0000  0.2238  -0.01
Se  0.5881  0.5000  0.7238  -0.01
Se  0.1999  0.0000  0.4070  -0.01
Se  0.1999  0.5000  0.9070  -0.01
Be  0.8822  0.0000  0.4767  0.00
Be  0.7623  0.0000  0.0459  0.00
Be  0.8822  0.5000  0.9767  0.00
Be  0.7623  0.5000  0.5459  0.00

Results
The value obtained for the total magnetic moment is 0.43 μB/f.u. The calculation puts the total energy at -17.10 eV/f.u. The calculation puts the energy above the most stable polymorph in this dataset at 2.63 kcal/mol of atoms. The calculation puts the uncorrected formation energy at -0.2571 eV/atom.

***

No. 11
VASP calculation (PBE) on an optimized crystal structure of Nd6Ni2AgI3.

a b c (Å): 7.3632 7.3632 8.3667
angles (deg): 98.49 98.49 119.94
Sites, in units of the cell vectors:
Ni  0.3329  0.6671  0.0000
Ni  0.6671  0.3329  0.0000
Nd  0.4259  0.0635  0.1885
Nd  0.6999  0.6999  0.1863
Nd  0.9365  0.5741  0.8115
Nd  0.3001  0.3001  0.8137
Nd  0.5741  0.9365  0.8115
Nd  0.0635  0.4259  0.1885
I  0.1623  0.8377  0.5000
I  0.5000  0.5000  0.5000
I  0.8377  0.1623  0.5000
Ag  0.0000  0.0000  0.0000

Results
The value obtained for the total magnetic moment is 0.00 μB/f.u. The calculation puts the total energy at -55.02 eV/f.u. The calculation puts the uncorrected formation energy at -0.6124 eV/atom.

***

No. 12
VASP calculation (PBE) on an optimized crystal structure of MgSbPt.

a b c (Å): 4.5556 4.5556 3.4151
angles (deg): 90.00 90.00 120.00
Sites, in units of the cell vectors:
Sb  0.3333  0.6667  0.5007
Pt  0.6667  0.3333  0.4955
Mg  0.0000  0.0000  0.0038

Results
The value obtained for the total magnetic moment is 0.00 μB/f.u. The calculation puts the total energy at -12.99 eV/f.u. The calculation puts the uncorrected formation energy at -0.4092 eV/atom.